one:
A plane-wave DFT calculation with GGA-PBE was carried out for crystalline PrMgSb2 at its relaxed geometry.

CIF file:
```
data_PrMgSb2
_chemical_formula_sum 'Pr1 Mg1 Sb2'
_space_group_name_H-M_alt 'P 1'
_space_group_IT_number 1
_space_group_name_Hall 'P 1'
_cell_length_a 4.530
_cell_length_b 4.530
_cell_length_c 7.287
_cell_angle_alpha 71.89
_cell_angle_beta 71.89
_cell_angle_gamma 60.00
loop_
_atom_site_label
_atom_site_type_symbol
_atom_site_fract_x
_atom_site_fract_y
_atom_site_fract_z
Sb1 Sb 0.743 0.743 0.772
Mg1 Mg 0.000 0.000 0.000
Pr1 Pr 0.500 0.500 0.500
Sb2 Sb 0.257 0.257 0.228
```

two:
A plane-wave DFT calculation with GGA-PBE was carried out for crystalline PrMgSb2 at its relaxed geometry.

CIF file:
```
data_PrMgSb2
_chemical_formula_sum 'Pr1 Mg1 Sb2'
_space_group_name_H-M_alt 'P 1'
_space_group_IT_number 1
_space_group_name_Hall 'P 1'
_cell_length_a 4.543
_cell_length_b 4.543
_cell_length_c 7.328
_cell_angle_alpha 71.94
_cell_angle_beta 71.94
_cell_angle_gamma 60.00
loop_
_atom_site_label
_atom_site_type_symbol
_atom_site_fract_x
_atom_site_fract_y
_atom_site_fract_z
Sb1 Sb 0.091 0.091 0.727
Sb2 Sb 0.245 0.245 0.266
Pr1 Pr 0.668 0.668 0.995
Mg1 Mg 0.496 0.496 0.513
```

three:
A plane-wave DFT calculation with GGA-PBE was carried out for crystalline PrMgSb2 at its relaxed geometry.

CIF file:
```
data_PrMgSb2
_chemical_formula_sum 'Pr2 Mg2 Sb4'
_space_group_name_H-M_alt 'P 1'
_space_group_IT_number 1
_space_group_name_Hall 'P 1'
_cell_length_a 4.450
_cell_length_b 4.450
_cell_length_c 11.168
_cell_angle_alpha 90.00
_cell_angle_beta 90.00
_cell_angle_gamma 90.00
loop_
_atom_site_label
_atom_site_type_symbol
_atom_site_fract_x
_atom_site_fract_y
_atom_site_fract_z
Sb1 Sb 0.500 0.000 0.173
Pr1 Pr 0.000 0.500 0.281
Mg1 Mg 0.500 0.500 0.000
Pr2 Pr 0.500 0.000 0.719
Sb2 Sb 0.000 0.500 0.827
Sb3 Sb 0.000 0.000 0.500
Mg2 Mg 0.000 0.000 0.000
Sb4 Sb 0.500 0.500 0.500
```

Which structure is the least stable? The one labeled one.

one:
A plane-wave DFT calculation with GGA-PBE was carried out for crystalline PrMg4Sc at its relaxed geometry.

CIF file:
```
data_PrMg4Sc
_chemical_formula_sum 'Pr1 Mg4 Sc1'
_space_group_name_H-M_alt 'P 1'
_space_group_IT_number 1
_space_group_name_Hall 'P 1'
_cell_length_a 3.239
_cell_length_b 9.101
_cell_length_c 6.117
_cell_angle_alpha 89.98
_cell_angle_beta 57.96
_cell_angle_gamma 89.97
loop_
_atom_site_label
_atom_site_type_symbol
_atom_site_fract_x
_atom_site_fract_y
_atom_site_fract_z
Mg1 Mg 0.004 0.157 0.500
Pr1 Pr 0.500 0.500 0.500
Mg2 Mg 0.500 0.318 0.000
Sc1 Sc 0.000 0.000 0.000
Mg3 Mg 0.996 0.843 0.500
Mg4 Mg 0.500 0.682 0.000
```

two:
A plane-wave DFT calculation with GGA-PBE was carried out for crystalline PrMg4Sc at its relaxed geometry.

CIF file:
```
data_PrMg4Sc
_chemical_formula_sum 'Pr1 Mg4 Sc1'
_space_group_name_H-M_alt 'P 1'
_space_group_IT_number 1
_space_group_name_Hall 'P 1'
_cell_length_a 6.001
_cell_length_b 6.001
_cell_length_c 6.001
_cell_angle_alpha 60.00
_cell_angle_beta 60.00
_cell_angle_gamma 60.00
loop_
_atom_site_label
_atom_site_type_symbol
_atom_site_fract_x
_atom_site_fract_y
_atom_site_fract_z
Mg1 Mg 0.625 0.124 0.625
Mg2 Mg 0.124 0.625 0.625
Mg3 Mg 0.625 0.625 0.124
Pr1 Pr 0.250 0.250 0.250
Sc1 Sc 0.000 0.000 0.000
Mg4 Mg 0.625 0.625 0.625
```

Which structure is the least stable? The one labeled two.

one:
A plane-wave DFT calculation with GGA-PBE was carried out for crystalline Pr6MgSc at its relaxed geometry.

CIF file:
```
data_Pr6MgSc
_chemical_formula_sum 'Pr6 Mg1 Sc1'
_space_group_name_H-M_alt 'P 1'
_space_group_IT_number 1
_space_group_name_Hall 'P 1'
_cell_length_a 6.263
_cell_length_b 6.130
_cell_length_c 10.895
_cell_angle_alpha 47.52
_cell_angle_beta 60.78
_cell_angle_gamma 78.79
loop_
_atom_site_label
_atom_site_type_symbol
_atom_site_fract_x
_atom_site_fract_y
_atom_site_fract_z
Mg1 Mg 0.000 0.000 0.000
Sc1 Sc 0.500 0.500 0.500
Pr1 Pr 0.389 0.111 0.131
Pr2 Pr 0.611 0.889 0.869
Pr3 Pr 0.747 0.250 0.252
Pr4 Pr 0.889 0.616 0.629
Pr5 Pr 0.253 0.750 0.748
Pr6 Pr 0.111 0.384 0.371
```

two:
A plane-wave DFT calculation with GGA-PBE was carried out for crystalline Pr6MgSc at its relaxed geometry.

CIF file:
```
data_Pr6MgSc
_chemical_formula_sum 'Pr6 Mg1 Sc1'
_space_group_name_H-M_alt 'P 1'
_space_group_IT_number 1
_space_group_name_Hall 'P 1'
_cell_length_a 5.079
_cell_length_b 5.079
_cell_length_c 10.178
_cell_angle_alpha 90.00
_cell_angle_beta 90.00
_cell_angle_gamma 90.00
loop_
_atom_site_label
_atom_site_type_symbol
_atom_site_fract_x
_atom_site_fract_y
_atom_site_fract_z
Pr1 Pr 0.500 0.000 0.748
Pr2 Pr 0.500 0.000 0.252
Pr3 Pr 0.000 0.500 0.252
Sc1 Sc 0.000 0.000 0.500
Mg1 Mg 0.000 0.000 0.000
Pr4 Pr 0.500 0.500 0.000
Pr5 Pr 0.500 0.500 0.500
Pr6 Pr 0.000 0.500 0.748
```

Which structure is the least stable? The one labeled one.

one:
A plane-wave DFT calculation with GGA-PBE was carried out for crystalline PrTmMgSc at its relaxed geometry.

CIF file:
```
data_PrTmMgSc
_chemical_formula_sum 'Pr1 Tm1 Mg1 Sc1'
_space_group_name_H-M_alt 'P 1'
_space_group_IT_number 1
_space_group_name_Hall 'P 1'
_cell_length_a 5.432
_cell_length_b 5.432
_cell_length_c 5.432
_cell_angle_alpha 60.00
_cell_angle_beta 60.00
_cell_angle_gamma 60.00
loop_
_atom_site_label
_atom_site_type_symbol
_atom_site_fract_x
_atom_site_fract_y
_atom_site_fract_z
Tm1 Tm 0.250 0.250 0.250
Sc1 Sc 0.000 0.000 0.000
Pr1 Pr 0.750 0.750 0.750
Mg1 Mg 0.500 0.500 0.500
```

two:
A plane-wave DFT calculation with GGA-PBE was carried out for crystalline PrTmMgSc at its relaxed geometry.

CIF file:
```
data_PrTmMgSc
_chemical_formula_sum 'Pr1 Tm1 Mg1 Sc1'
_space_group_name_H-M_alt 'P 1'
_space_group_IT_number 1
_space_group_name_Hall 'P 1'
_cell_length_a 3.372
_cell_length_b 3.430
_cell_length_c 10.126
_cell_angle_alpha 90.01
_cell_angle_beta 99.58
_cell_angle_gamma 90.00
loop_
_atom_site_label
_atom_site_type_symbol
_atom_site_fract_x
_atom_site_fract_y
_atom_site_fract_z
Sc1 Sc 0.663 0.930 0.325
Mg1 Mg 0.057 0.429 0.115
Pr1 Pr 0.433 0.930 0.867
Tm1 Tm 0.277 0.430 0.554
```

Which structure is the least stable? The one labeled two.

one:
A plane-wave DFT calculation with GGA-PBE was carried out for crystalline PrMgScZn at its relaxed geometry.

CIF file:
```
data_PrMgScZn
_chemical_formula_sum 'Pr1 Mg1 Sc1 Zn1'
_space_group_name_H-M_alt 'P 1'
_space_group_IT_number 1
_space_group_name_Hall 'P 1'
_cell_length_a 3.533
_cell_length_b 3.533
_cell_length_c 7.791
_cell_angle_alpha 90.00
_cell_angle_beta 90.00
_cell_angle_gamma 90.00
loop_
_atom_site_label
_atom_site_type_symbol
_atom_site_fract_x
_atom_site_fract_y
_atom_site_fract_z
Zn1 Zn 0.000 0.000 0.533
Mg1 Mg 0.000 0.000 0.103
Sc1 Sc 0.500 0.500 0.352
Pr1 Pr 0.500 0.500 0.797
```

two:
A plane-wave DFT calculation with GGA-PBE was carried out for crystalline PrMgScZn at its relaxed geometry.

CIF file:
```
data_PrMgScZn
_chemical_formula_sum 'Pr1 Mg1 Sc1 Zn1'
_space_group_name_H-M_alt 'P 1'
_space_group_IT_number 1
_space_group_name_Hall 'P 1'
_cell_length_a 5.154
_cell_length_b 5.154
_cell_length_c 5.154
_cell_angle_alpha 60.00
_cell_angle_beta 60.00
_cell_angle_gamma 60.00
loop_
_atom_site_label
_atom_site_type_symbol
_atom_site_fract_x
_atom_site_fract_y
_atom_site_fract_z
Zn1 Zn 0.000 0.000 0.000
Sc1 Sc 0.250 0.250 0.250
Mg1 Mg 0.500 0.500 0.500
Pr1 Pr 0.750 0.750 0.750
```

Which structure is the least stable? The one labeled two.

one:
A plane-wave DFT calculation with GGA-PBE was carried out for crystalline Pr2MgSe4 at its relaxed geometry.

CIF file:
```
data_Pr2MgSe4
_chemical_formula_sum 'Pr8 Mg4 Se16'
_space_group_name_H-M_alt 'P 1'
_space_group_IT_number 1
_space_group_name_Hall 'P 1'
_cell_length_a 7.539
_cell_length_b 8.611
_cell_length_c 12.402
_cell_angle_alpha 90.00
_cell_angle_beta 90.00
_cell_angle_gamma 90.00
loop_
_atom_site_label
_atom_site_type_symbol
_atom_site_fract_x
_atom_site_fract_y
_atom_site_fract_z
Se1 Se 0.993 0.858 0.845
Pr1 Pr 0.750 0.040 0.681
Se2 Se 0.750 0.090 0.440
Pr2 Pr 0.250 0.460 0.181
Pr3 Pr 0.750 0.917 0.034
Mg1 Mg 0.250 0.192 0.583
Pr4 Pr 0.250 0.583 0.534
Pr5 Pr 0.750 0.540 0.819
Pr6 Pr 0.750 0.417 0.466
Pr7 Pr 0.250 0.960 0.319
Se3 Se 0.993 0.358 0.655
Se4 Se 0.750 0.590 0.060
Pr8 Pr 0.250 0.083 0.966
Se5 Se 0.250 0.290 0.389
Se6 Se 0.493 0.142 0.155
Se7 Se 0.507 0.858 0.845
Se8 Se 0.250 0.910 0.560
Se9 Se 0.250 0.790 0.111
Se10 Se 0.007 0.142 0.155
Mg2 Mg 0.250 0.692 0.917
Mg3 Mg 0.750 0.308 0.083
Se11 Se 0.507 0.358 0.655
Se12 Se 0.007 0.642 0.345
Mg4 Mg 0.750 0.808 0.417
Se13 Se 0.250 0.410 0.940
Se14 Se 0.750 0.710 0.611
Se15 Se 0.750 0.210 0.889
Se16 Se 0.493 0.642 0.345
```

two:
A plane-wave DFT calculation with GGA-PBE was carried out for crystalline Pr2MgSe4 at its relaxed geometry.

CIF file:
```
data_Pr2MgSe4
_chemical_formula_sum 'Pr8 Mg4 Se16'
_space_group_name_H-M_alt 'P 1'
_space_group_IT_number 1
_space_group_name_Hall 'P 1'
_cell_length_a 7.000
_cell_length_b 8.621
_cell_length_c 14.661
_cell_angle_alpha 90.00
_cell_angle_beta 90.00
_cell_angle_gamma 90.00
loop_
_atom_site_label
_atom_site_type_symbol
_atom_site_fract_x
_atom_site_fract_y
_atom_site_fract_z
Se1 Se 0.260 0.985 0.830
Se2 Se 0.223 0.250 0.590
Pr1 Pr 0.500 0.500 0.000
Se3 Se 0.258 0.750 0.568
Mg1 Mg 0.087 0.750 0.905
Se4 Se 0.242 0.750 0.068
Mg2 Mg 0.587 0.250 0.595
Se5 Se 0.240 0.985 0.330
Se6 Se 0.760 0.015 0.670
Se7 Se 0.760 0.485 0.670
Pr2 Pr 0.000 0.000 0.500
Pr3 Pr 0.010 0.250 0.768
Se8 Se 0.277 0.250 0.090
Se9 Se 0.742 0.250 0.432
Pr4 Pr 0.500 0.000 0.000
Pr5 Pr 0.000 0.500 0.500
Se10 Se 0.740 0.485 0.170
Mg3 Mg 0.913 0.250 0.095
Se11 Se 0.240 0.515 0.330
Se12 Se 0.260 0.515 0.830
Pr6 Pr 0.510 0.750 0.732
Pr7 Pr 0.490 0.250 0.268
Se13 Se 0.723 0.750 0.910
Se14 Se 0.758 0.250 0.932
Se15 Se 0.740 0.015 0.170
Pr8 Pr 0.990 0.750 0.232
Mg4 Mg 0.413 0.750 0.405
Se16 Se 0.777 0.750 0.410
```

three:
A plane-wave DFT calculation with GGA-PBE was carried out for crystalline Pr2MgSe4 at its relaxed geometry.

CIF file:
```
data_Pr2MgSe4
_chemical_formula_sum 'Pr4 Mg2 Se8'
_space_group_name_H-M_alt 'P 1'
_space_group_IT_number 1
_space_group_name_Hall 'P 1'
_cell_length_a 7.735
_cell_length_b 7.735
_cell_length_c 7.735
_cell_angle_alpha 111.11
_cell_angle_beta 111.11
_cell_angle_gamma 106.24
loop_
_atom_site_label
_atom_site_type_symbol
_atom_site_fract_x
_atom_site_fract_y
_atom_site_fract_z
Mg1 Mg 0.000 0.000 0.000
Se1 Se 0.641 0.874 0.629
Pr1 Pr 0.375 0.499 0.624
Pr2 Pr 0.875 0.751 0.376
Mg2 Mg 0.750 0.250 0.500
Se2 Se 0.126 0.754 0.767
Se3 Se 0.246 0.012 0.371
Pr3 Pr 0.249 0.625 0.124
Se4 Se 0.624 0.891 0.129
Se5 Se 0.109 0.238 0.733
Se6 Se 0.504 0.376 0.267
Pr4 Pr 0.501 0.125 0.876
Se7 Se 0.988 0.359 0.233
Se8 Se 0.762 0.496 0.871
```

Which structure is the least stable? The one labeled one.